[1]
Density functional theory data (PBE-GGA) for a relaxed KGa2Hg2Cl6 crystal. Values from VASP.

```
&SYSTEM
  ibrav = 0, nat = 11, ntyp = 4
/
ATOMIC_SPECIES
K 39.10 K.upf
Ga 69.72 Ga.upf
Hg 200.59 Hg.upf
Cl 35.45 Cl.upf
CELL_PARAMETERS angstrom
3.820 2.205 8.470
-3.820 2.205 8.470
0.000 -4.411 8.470
ATOMIC_POSITIONS crystal
K 0.000 0.000 0.000
Ga 0.447 0.447 0.447
Ga 0.553 0.553 0.553
Hg 0.288 0.288 0.288
Hg 0.712 0.712 0.712
Cl 0.251 0.734 0.734
Cl 0.266 0.266 0.749
Cl 0.266 0.749 0.266
Cl 0.734 0.251 0.734
Cl 0.734 0.734 0.251
Cl 0.749 0.266 0.266
```

Summary:
- raw formation energy (meV/atom) = -924
- DOS at the Fermi energy (states/eV per cell) = 0.47
- SG = No. 166
- calculated density (kg/m3) = 3074
- crystal system = trigonal



[2]
Density functional theory data (PBE-GGA) for a relaxed K2GaHgCl6 crystal. Values from VASP.

```
&SYSTEM
  ibrav = 0, nat = 10, ntyp = 4
/
ATOMIC_SPECIES
K 39.10 K.upf
Ga 69.72 Ga.upf
Hg 200.59 Hg.upf
Cl 35.45 Cl.upf
CELL_PARAMETERS angstrom
0.000 5.232 5.232
5.232 0.000 5.232
5.232 5.232 0.000
ATOMIC_POSITIONS crystal
K 0.250 0.250 0.250
K 0.750 0.750 0.750
Ga 0.000 0.000 0.000
Hg 0.500 0.500 0.500
Cl 0.232 0.232 0.768
Cl 0.232 0.768 0.232
Cl 0.232 0.768 0.768
Cl 0.768 0.232 0.232
Cl 0.768 0.232 0.768
Cl 0.768 0.768 0.232
```

Summary:
- raw formation energy (meV/atom) = -1244
- DOS at the Fermi energy (states/eV per cell) = 0.61
- SG = No. 225
- calculated density (kg/m3) = 3253
- crystal system = cubic



[3]
Density functional theory data (PBE-GGA) for a relaxed Li2Ga2HgCl6 crystal. Values from VASP.

```
&SYSTEM
  ibrav = 0, nat = 11, ntyp = 4
/
ATOMIC_SPECIES
Li 6.94 Li.upf
Ga 69.72 Ga.upf
Hg 200.59 Hg.upf
Cl 35.45 Cl.upf
CELL_PARAMETERS angstrom
6.725 0.000 0.000
2.446 6.367 0.000
2.779 2.485 7.981
ATOMIC_POSITIONS crystal
Li 0.178 0.309 0.146
Li 0.822 0.691 0.854
Ga 0.471 0.588 0.356
Ga 0.529 0.412 0.644
Hg 0.000 0.000 0.000
Cl 0.200 0.521 0.305
Cl 0.232 0.525 0.845
Cl 0.414 0.957 0.270
Cl 0.586 0.043 0.730
Cl 0.768 0.475 0.155
Cl 0.800 0.479 0.695
```

Summary:
- raw formation energy (meV/atom) = -1180
- DOS at the Fermi energy (states/eV per cell) = 0.00
- SG = No. 2
- calculated density (kg/m3) = 2754
- crystal system = triclinic